(1)
Here is a geometry-optimized Pa2Fe3B12Ir structure from Alexandria. Energies are from PBE.

Properties
Formation energy from the elements, eV per atom: -0.017
M_tot, μB per formula unit: 6.763
VASP energy, eV per cell: -133.7
V, Å³ per cell: 199

Cell: 8.0007 8.0007 8.0007 Å, 41.03 41.03 41.03°
Last column: nearest neighbours and their distance in Å.
Fractional coordinates of all 18 atoms:
1 Pa 0.1348 0.1348 0.1348  3 B 2.59
2 Pa 0.8652 0.8652 0.8652  3 B 2.59
3 Fe 0.0000 0.5000 0.5000  6 B 2.11-2.13
4 Fe 0.5000 0.0000 0.5000  6 B 2.11-2.13
5 Fe 0.5000 0.5000 0.0000  6 B 2.11-2.13
6 B 0.1438 0.5715 0.5715  2 B 1.69
7 B 0.1542 0.1542 0.4753  4 B 1.69-1.80
8 B 0.1542 0.4753 0.1542  4 B 1.69-1.80
9 B 0.4285 0.4285 0.8562  2 B 1.69
10 B 0.4285 0.8562 0.4285  2 B 1.69
11 B 0.4753 0.1542 0.1542  4 B 1.69-1.80
12 B 0.5247 0.8458 0.8458  4 B 1.69-1.80
13 B 0.5715 0.1438 0.5715  2 B 1.69
14 B 0.5715 0.5715 0.1438  2 B 1.69
15 B 0.8458 0.5247 0.8458  4 B 1.69-1.80
16 B 0.8458 0.8458 0.5247  4 B 1.69-1.80
17 B 0.8562 0.4285 0.4285  2 B 1.69
18 Ir 0.5000 0.5000 0.5000  6 B 2.09

(2)
Here is a geometry-optimized K4SbPb structure from Alexandria. Energies are from PBE.

Properties
M_tot, μB per formula unit: 0.660
VASP energy, eV per cell: -11.0
V, Å³ per cell: 243

Cell: 7.0012 7.0012 7.0012 Å, 60.00 60.00 60.00°
Last column: nearest neighbours and their distance in Å.
Fractional coordinates of all 6 atoms:
1 K 0.3758 0.3758 0.3758  6 K 3.48-3.52
2 K 0.3758 0.3758 0.8726  6 K 3.48-3.52
3 K 0.3758 0.8726 0.3758  6 K 3.48-3.52
4 K 0.8726 0.3758 0.3758  6 K 3.48-3.52
5 Sb 0.7500 0.7500 0.7500  12 K 4.10, 4 Pb 4.29
6 Pb 0.0000 0.0000 0.0000  12 K 4.11, 4 Sb 4.29

(3)
Here is a geometry-optimized Rb2Pu3RhO12 structure from Alexandria. Energies are from PBE.

Properties
M_tot, μB per formula unit: 4.990
VASP energy, eV per cell: -150.5
V, Å³ per cell: 315

Cell: 7.4577 7.4577 7.4577 Å, 63.31 63.31 63.31°
Last column: nearest neighbours and their distance in Å.
Fractional coordinates of all 18 atoms:
1 Rb 0.1304 0.1304 0.1304  9 O 3.33-3.57
2 Rb 0.8696 0.8696 0.8696  9 O 3.33-3.57
3 Pu 0.0000 0.5000 0.5000  6 O 1.96-2.10
4 Pu 0.5000 0.0000 0.5000  6 O 1.96-2.10
5 Pu 0.5000 0.5000 0.0000  6 O 1.96-2.10
6 Rh 0.5000 0.5000 0.5000  6 O 2.01
7 O 0.1783 0.1783 0.5608  2 Pu 2.10
8 O 0.1783 0.5608 0.1783  2 Pu 2.10
9 O 0.1903 0.5625 0.5625  1 Pu 1.96, 1 Rh 2.01
10 O 0.4375 0.4375 0.8097  1 Pu 1.96, 1 Rh 2.01
11 O 0.4375 0.8097 0.4375  1 Pu 1.96, 1 Rh 2.01
12 O 0.4392 0.8217 0.8217  2 Pu 2.10
13 O 0.5608 0.1783 0.1783  2 Pu 2.10
14 O 0.5625 0.1903 0.5625  1 Pu 1.96, 1 Rh 2.01
15 O 0.5625 0.5625 0.1903  1 Pu 1.96, 1 Rh 2.01
16 O 0.8097 0.4375 0.4375  1 Pu 1.96, 1 Rh 2.01
17 O 0.8217 0.4392 0.8217  2 Pu 2.10
18 O 0.8217 0.8217 0.4392  2 Pu 2.10

(4)
Here is a geometry-optimized La6SmZn2 structure from Alexandria. Energies are from PBE.

Properties
Formation energy from the elements, eV per atom: -0.138
M_tot, μB per formula unit: 0.000
VASP energy, eV per cell: -38.1
V, Å³ per cell: 287

Cell: 6.7838 6.7838 12.2531 Å, 108.27 108.27 32.64°
Last column: nearest neighbours and their distance in Å.
Fractional coordinates of all 9 atoms:
1 La 0.0290 0.0290 0.3275  2 Zn 3.20, 1 La 3.46
2 La 0.3092 0.3092 0.4052  2 Zn 3.37, 4 La 3.45-3.71
3 La 0.3133 0.3133 0.1250  2 Zn 3.22, 3 La 3.45-3.53
4 La 0.6867 0.6867 0.8750  2 Zn 3.22, 3 La 3.45-3.53
5 La 0.6908 0.6908 0.5948  2 Zn 3.37, 4 La 3.45-3.71
6 La 0.9710 0.9710 0.6725  2 Zn 3.20, 1 La 3.46
7 Sm 0.0000 0.0000 0.0000  4 Zn 3.14
8 Zn 0.3560 0.3560 0.8074  2 Sm 3.14, 6 La 3.20-3.37
9 Zn 0.6440 0.6440 0.1926  2 Sm 3.14, 6 La 3.20-3.37